1.
A geometry-optimized SrMg6CdO8 structure, computed with PBE-GGA.

Results
* relative energy among the computed polymorphs: 57 meV/atom
* mass density: 4.225 g cm⁻³
* N(E_F): 0.000 states/eV/atom
* magnetic moment: 0.00 μB per formula unit
* formation energy from raw total energies: -2.263 eV/atom

a = 4.559 Å, b = 4.559 Å, c = 8.959 Å
α = 90.00°, β = 90.00°, γ = 90.00°
Fractional coordinates of all 16 atoms:
Sr 0.000 0.000 0.000
Mg 0.500 0.500 0.000
Mg 0.500 0.500 0.500
Mg 0.000 0.500 0.257
Mg 0.000 0.500 0.743
Mg 0.500 0.000 0.257
Mg 0.500 0.000 0.743
Cd 0.000 0.000 0.500
O 0.000 0.000 0.258
O 0.000 0.000 0.742
O 0.500 0.500 0.253
O 0.500 0.500 0.747
O 0.000 0.500 0.000
O 0.000 0.500 0.500
O 0.500 0.000 0.000
O 0.500 0.000 0.500

---

2.
A geometry-optimized HoErCd3 structure, computed with PBE-GGA.

Results
* relative energy among the computed polymorphs: 0 meV/atom
* mass density: 8.886 g cm⁻³
* N(E_F): 0.849 states/eV/atom
* magnetic moment: 0.00 μB per formula unit

a = 3.451 Å, b = 4.936 Å, c = 14.786 Å
α = 90.00°, β = 96.70°, γ = 90.00°
Fractional coordinates of all 10 atoms:
Ho 0.925 0.750 0.850
Ho 0.075 0.250 0.150
Er 0.216 0.750 0.432
Er 0.784 0.250 0.568
Cd 0.621 0.750 0.243
Cd 0.379 0.250 0.757
Cd 0.524 0.750 0.048
Cd 0.476 0.250 0.952
Cd 0.675 0.250 0.351
Cd 0.325 0.750 0.649

---

3.
A geometry-optimized Y2ErHf structure, computed with PBE-GGA.

Results
* relative energy among the computed polymorphs: 9 meV/atom
* mass density: 7.573 g cm⁻³
* N(E_F): 1.406 states/eV/atom
* magnetic moment: 0.00 μB per formula unit

a = 3.425 Å, b = 3.425 Å, c = 11.474 Å
α = 81.42°, β = 81.42°, γ = 60.00°
Fractional coordinates of all 4 atoms:
Y 0.745 0.745 0.766
Y 0.255 0.255 0.234
Hf 0.000 0.000 0.000
Er 0.500 0.500 0.500

---

4.
A geometry-optimized Nd4Er5 structure, computed with PBE-GGA.

Results
* raw total energy: -41.70 eV/f.u.
* mass density: 8.021 g cm⁻³
* N(E_F): 1.448 states/eV/atom
* magnetic moment: 0.00 μB per formula unit

a = 5.049 Å, b = 8.020 Å, c = 8.020 Å
α = 84.32°, β = 71.66°, γ = 71.66°
Fractional coordinates of all 9 atoms:
Nd 0.667 0.000 0.667
Nd 0.333 0.333 0.000
Nd 0.333 0.000 0.333
Nd 0.667 0.667 0.000
Er 0.665 0.335 0.335
Er 0.335 0.665 0.665
Er 0.000 0.000 0.000
Er 0.000 0.665 0.335
Er 0.000 0.335 0.665

---

5.
A geometry-optimized Cs3YTm2Se6 structure, computed with PBE-GGA.

Results
* mass density: 5.535 g cm⁻³
* N(E_F): 0.000 states/eV/atom
* magnetic moment: 0.00 μB per formula unit
* formation energy from raw total energies: -1.719 eV/atom

a = 7.336 Å, b = 7.336 Å, c = 8.714 Å
α = 98.07°, β = 98.07°, γ = 120.00°
Fractional coordinates of all 12 atoms:
Cs 0.166 0.834 0.500
Cs 0.834 0.166 0.500
Cs 0.500 0.500 0.500
Y 0.000 0.000 0.000
Tm 0.333 0.667 0.000
Tm 0.667 0.333 0.000
Se 0.939 0.602 0.816
Se 0.724 0.724 0.184
Se 0.061 0.398 0.184
Se 0.602 0.939 0.816
Se 0.276 0.276 0.816
Se 0.398 0.061 0.184

---

6.
A geometry-optimized PrLuThAl structure, computed with PBE-GGA.

Results
* raw total energy: -20.53 eV/f.u.
* mass density: 8.426 g cm⁻³
* N(E_F): 1.037 states/eV/atom
* magnetic moment: 0.01 μB per formula unit

a = 5.431 Å, b = 5.431 Å, c = 5.431 Å
α = 60.00°, β = 60.00°, γ = 60.00°
Fractional coordinates of all 4 atoms:
Pr 0.250 0.250 0.250
Lu 0.000 0.000 0.000
Al 0.500 0.500 0.500
Th 0.750 0.750 0.750

---

Q: Which value of magnetic moment does entry 1 give?
A: 0.00 μB per formula unit

---

Q: Which formula does entry 6 have?
A: PrLuThAl

---

Q: What is the formula in the second record?
A: HoErCd3

---

Q: What is the formula in the sixth record?
A: PrLuThAl